[1]
# Dy2Cu2Pd GGA-PBE optimized geometry
# relative energy among the computed polymorphs: 4.19 kJ per mole of atoms
# calculated formation energy: -0.431 eV per atom
# DOS at the Fermi energy: 0.66 states/eV/atom
data_Dy2Cu2Pd
_chemical_formula_sum 'Dy8 Cu8 Pd4'
_symmetry_space_group_name_H-M 'P 4/m n c'
_symmetry_Int_Tables_number 128
_symmetry_space_group_name_Hall '-P 4 2n'
_cell_length_a 7.175
_cell_length_b 7.175
_cell_length_c 7.637
_cell_angle_alpha 90.00
_cell_angle_beta 90.00
_cell_angle_gamma 90.00
loop_
_atom_site_label
_atom_site_type_symbol
_atom_site_fract_x
_atom_site_fract_y
_atom_site_fract_z
Dy1 Dy 0.181 0.319 0.000
Cu1 Cu 0.120 0.620 0.250
Pd1 Pd 0.000 0.000 0.249

=====

[2]
# Dy3Cu2Pd GGA-PBE optimized geometry
# relative energy among the computed polymorphs: 0.43 kJ per mole of atoms
# calculated formation energy: -0.460 eV per atom
# DOS at the Fermi energy: 0.63 states/eV/atom
data_Dy3Cu2Pd
_chemical_formula_sum 'Dy3 Cu2 Pd1'
_symmetry_space_group_name_H-M 'P 4/m m m'
_symmetry_Int_Tables_number 123
_symmetry_space_group_name_Hall '-P 4 2'
_cell_length_a 3.468
_cell_length_b 3.468
_cell_length_c 10.568
_cell_angle_alpha 90.00
_cell_angle_beta 90.00
_cell_angle_gamma 90.00
loop_
_atom_site_label
_atom_site_type_symbol
_atom_site_fract_x
_atom_site_fract_y
_atom_site_fract_z
Dy1 Dy 0.000 0.000 0.000
Dy2 Dy 0.000 0.000 0.332
Cu1 Cu 0.500 0.500 0.165
Pd1 Pd 0.500 0.500 0.500

=====

[3]
# Dy2CuPd9 GGA-PBE optimized geometry
# calculated formation energy: -0.580 eV per atom
# DOS at the Fermi energy: 1.06 states/eV/atom
data_Dy2CuPd9
_chemical_formula_sum 'Dy2 Cu1 Pd9'
_symmetry_space_group_name_H-M 'P 4/m m m'
_symmetry_Int_Tables_number 123
_symmetry_space_group_name_Hall '-P 4 2'
_cell_length_a 4.078
_cell_length_b 4.078
_cell_length_c 12.027
_cell_angle_alpha 90.00
_cell_angle_beta 90.00
_cell_angle_gamma 90.00
loop_
_atom_site_label
_atom_site_type_symbol
_atom_site_fract_x
_atom_site_fract_y
_atom_site_fract_z
Dy1 Dy 0.000 0.000 0.175
Cu1 Cu 0.000 0.000 0.500
Pd1 Pd 0.000 0.500 0.000
Pd2 Pd 0.000 0.500 0.347
Pd3 Pd 0.500 0.500 0.173
Pd4 Pd 0.500 0.500 0.500

=====

[4]
# DyCuPdPt GGA-PBE optimized geometry
# relative energy among the computed polymorphs: 0.00 kJ per mole of atoms
# calculated formation energy: -0.763 eV per atom
# DOS at the Fermi energy: 0.22 states/eV/atom
data_DyCuPdPt
_chemical_formula_sum 'Dy1 Cu1 Pd1 Pt1'
_symmetry_space_group_name_H-M 'P m m m'
_symmetry_Int_Tables_number 47
_cell_length_a 3.940
_cell_length_b 4.109
_cell_length_c 4.216
_cell_angle_alpha 90.00
_cell_angle_beta 90.00
_cell_angle_gamma 90.00
loop_
_symmetry_equiv_pos_as_xyz
'x,y,z'
'-x,-y,-z'
'-x,-y,z'
'x,y,-z'
'x,-y,-z'
'-x,y,z'
'-x,y,-z'
'x,-y,z'
loop_
_atom_site_label
_atom_site_type_symbol
_atom_site_fract_x
_atom_site_fract_y
_atom_site_fract_z
Dy1 Dy 0.000 0.000 0.000
Cu1 Cu 0.000 0.500 0.500
Pd1 Pd 0.500 0.000 0.500
Pt1 Pt 0.500 0.500 0.000

=====

[5]
# DyCuPdPt GGA-PBE optimized geometry
# relative energy among the computed polymorphs: 9.50 kJ per mole of atoms
# calculated formation energy: -0.664 eV per atom
# DOS at the Fermi energy: 0.52 states/eV/atom
data_DyCuPdPt
_chemical_formula_sum 'Dy4 Cu4 Pd4 Pt4'
_symmetry_space_group_name_H-M 'F -4 3 m'
_symmetry_Int_Tables_number 216
_symmetry_space_group_name_Hall 'F -4 2 3'
_cell_length_a 6.554
_cell_length_b 6.554
_cell_length_c 6.554
_cell_angle_alpha 90.00
_cell_angle_beta 90.00
_cell_angle_gamma 90.00
loop_
_atom_site_label
_atom_site_type_symbol
_atom_site_fract_x
_atom_site_fract_y
_atom_site_fract_z
Dy1 Dy 0.000 0.000 0.000
Cu1 Cu 0.000 0.000 0.500
Pd1 Pd 0.250 0.250 0.250
Pt1 Pt 0.250 0.250 0.750

=====

[6]
# DyPuCuPd GGA-PBE optimized geometry
# calculated formation energy: -0.311 eV per atom
# DOS at the Fermi energy: 2.94 states/eV/atom
data_DyPuCuPd
_chemical_formula_sum 'Dy4 Pu4 Cu4 Pd4'
_symmetry_space_group_name_H-M 'F -4 3 m'
_symmetry_Int_Tables_number 216
_symmetry_space_group_name_Hall 'F -4 2 3'
_cell_length_a 7.013
_cell_length_b 7.013
_cell_length_c 7.013
_cell_angle_alpha 90.00
_cell_angle_beta 90.00
_cell_angle_gamma 90.00
loop_
_atom_site_label
_atom_site_type_symbol
_atom_site_fract_x
_atom_site_fract_y
_atom_site_fract_z
Dy1 Dy 0.000 0.000 0.000
Pu1 Pu 0.000 0.000 0.500
Cu1 Cu 0.250 0.250 0.750
Pd1 Pd 0.250 0.250 0.250

=====

[7]
# DyCuPdRh GGA-PBE optimized geometry
# relative energy among the computed polymorphs: 0.00 kJ per mole of atoms
# calculated formation energy: -0.606 eV per atom
# DOS at the Fermi energy: 0.67 states/eV/atom
data_DyCuPdRh
_chemical_formula_sum 'Dy1 Cu1 Pd1 Rh1'
_symmetry_space_group_name_H-M 'P m m m'
_symmetry_Int_Tables_number 47
_cell_length_a 3.832
_cell_length_b 4.103
_cell_length_c 4.225
_cell_angle_alpha 90.00
_cell_angle_beta 90.00
_cell_angle_gamma 90.00
loop_
_symmetry_equiv_pos_as_xyz
'x,y,z'
'-x,-y,-z'
'-x,-y,z'
'x,y,-z'
'x,-y,-z'
'-x,y,z'
'-x,y,-z'
'x,-y,z'
loop_
_atom_site_label
_atom_site_type_symbol
_atom_site_fract_x
_atom_site_fract_y
_atom_site_fract_z
Dy1 Dy 0.000 0.000 0.000
Cu1 Cu 0.000 0.500 0.500
Pd1 Pd 0.500 0.000 0.500
Rh1 Rh 0.500 0.500 0.000

=====

[8]
# DyCuPdRh GGA-PBE optimized geometry
# relative energy among the computed polymorphs: 8.42 kJ per mole of atoms
# calculated formation energy: -0.519 eV per atom
# DOS at the Fermi energy: 0.19 states/eV/atom
data_DyCuPdRh
_chemical_formula_sum 'Dy4 Cu4 Pd4 Rh4'
_symmetry_space_group_name_H-M 'F -4 3 m'
_symmetry_Int_Tables_number 216
_symmetry_space_group_name_Hall 'F -4 2 3'
_cell_length_a 6.468
_cell_length_b 6.468
_cell_length_c 6.468
_cell_angle_alpha 90.00
_cell_angle_beta 90.00
_cell_angle_gamma 90.00
loop_
_atom_site_label
_atom_site_type_symbol
_atom_site_fract_x
_atom_site_fract_y
_atom_site_fract_z
Dy1 Dy 0.000 0.000 0.000
Cu1 Cu 0.000 0.000 0.500
Pd1 Pd 0.250 0.250 0.750
Rh1 Rh 0.250 0.250 0.250

=====

[9]
# Dy4CuPdRu2 GGA-PBE optimized geometry
# calculated formation energy: -0.503 eV per atom
# DOS at the Fermi energy: 0.34 states/eV/atom
data_Dy4CuPdRu2
_chemical_formula_sum 'Dy12 Cu3 Pd3 Ru6'
_symmetry_space_group_name_H-M 'R -3 m'
_symmetry_Int_Tables_number 166
_symmetry_space_group_name_Hall '-R 3 2"'
_cell_length_a 4.8605
_cell_length_b 4.8605
_cell_length_c 23.8876
_cell_angle_alpha 90.00
_cell_angle_beta 90.00
_cell_angle_gamma 120.00
loop_
_atom_site_label
_atom_site_type_symbol
_atom_site_fract_x
_atom_site_fract_y
_atom_site_fract_z
Dy1 Dy 0.0000 0.0000 0.1245
Dy2 Dy 0.0000 0.0000 0.3746
Cu1 Cu 0.0000 0.0000 0.0000
Pd1 Pd 0.0000 0.0000 0.5000
Ru1 Ru 0.0000 0.0000 0.2506

=====

[10]
# DyCuSbPd GGA-PBE optimized geometry
# formation energy (no corrections): -0.5897 eV/atom
# DOS at the Fermi energy: 0.37 states/eV/atom
data_DyCuSbPd
_chemical_formula_sum 'Dy4 Cu4 Sb4 Pd4'
_symmetry_space_group_name_H-M 'F -4 3 m'
_symmetry_Int_Tables_number 216
_symmetry_space_group_name_Hall 'F -4 2 3'
_cell_length_a 6.763
_cell_length_b 6.763
_cell_length_c 6.763
_cell_angle_alpha 90.00
_cell_angle_beta 90.00
_cell_angle_gamma 90.00
loop_
_atom_site_label
_atom_site_type_symbol
_atom_site_fract_x
_atom_site_fract_y
_atom_site_fract_z
Dy1 Dy 0.000 0.000 0.000
Cu1 Cu 0.250 0.250 0.750
Sb1 Sb 0.000 0.000 0.500
Pd1 Pd 0.250 0.250 0.250

=====

[11]
# Dy3CuSi6Pd2 GGA-PBE optimized geometry
# formation energy (no corrections): -0.4226 eV/atom
# DOS at the Fermi energy: 0.47 states/eV/atom
data_Dy3CuSi6Pd2
_chemical_formula_sum 'Dy3 Cu1 Si6 Pd2'
_symmetry_space_group_name_H-M 'P -3 m 1'
_symmetry_Int_Tables_number 164
_symmetry_space_group_name_Hall '-P 3 2"'
_cell_length_a 5.5409
_cell_length_b 5.5409
_cell_length_c 8.2643
_cell_angle_alpha 90.00
_cell_angle_beta 90.00
_cell_angle_gamma 120.00
loop_
_atom_site_label
_atom_site_type_symbol
_atom_site_fract_x
_atom_site_fract_y
_atom_site_fract_z
Dy1 Dy 0.0000 0.0000 0.0000
Dy2 Dy 0.3333 0.6667 0.5973
Cu1 Cu 0.0000 0.0000 0.5000
Si1 Si 0.1829 0.3657 0.2801
Pd1 Pd 0.3333 0.6667 0.0328

=====

[12]
# DyCuSi2Pd GGA-PBE optimized geometry
# formation energy (no corrections): -0.7710 eV/atom
# DOS at the Fermi energy: 0.41 states/eV/atom
data_DyCuSi2Pd
_chemical_formula_sum 'Dy2 Cu2 Si4 Pd2'
_symmetry_space_group_name_H-M 'I -4 m 2'
_symmetry_Int_Tables_number 119
_symmetry_space_group_name_Hall 'I -4 -2'
_cell_length_a 4.037
_cell_length_b 4.037
_cell_length_c 10.145
_cell_angle_alpha 90.00
_cell_angle_beta 90.00
_cell_angle_gamma 90.00
loop_
_atom_site_label
_atom_site_type_symbol
_atom_site_fract_x
_atom_site_fract_y
_atom_site_fract_z
Dy1 Dy 0.000 0.000 0.000
Cu1 Cu 0.000 0.500 0.750
Si1 Si 0.000 0.000 0.385
Pd1 Pd 0.000 0.500 0.250